Record 1
A plane-wave DFT calculation with PBE was carried out for Y2Ta2InRh5 after structural relaxation.

ΔE_f	-0.42	eV/atom
DOS(E_F)	15.26	states/eV/cell
magnetization	0.00	μB per formula unit
SG	P4/mbm (127)

extended XYZ file:
```
20
Lattice="3.2929 0.0000 0.0000 0.0000 10.7521 0.0000 0.0000 0.0000 10.7521" Properties=species:S:1:pos:R:3 pbc="T T T"
Y 0.0000 7.2232 1.8471
Y 0.0000 3.5289 8.9050
Y 0.0000 1.8471 3.5289
Y 0.0000 8.9050 7.2232
Ta 0.0000 1.4467 6.8227
Ta 0.0000 9.3054 3.9294
Ta 0.0000 6.8227 9.3054
Ta 0.0000 3.9294 1.4467
In 0.0000 0.0000 0.0000
In 0.0000 5.3760 5.3760
Rh 1.6464 2.1965 0.5179
Rh 1.6464 8.5556 10.2341
Rh 1.6464 0.5179 8.5556
Rh 1.6464 7.5725 4.8581
Rh 1.6464 10.2341 2.1965
Rh 1.6464 3.1796 5.8940
Rh 1.6464 5.8940 7.5725
Rh 1.6464 4.8581 3.1796
Rh 1.6464 5.3760 0.0000
Rh 1.6464 0.0000 5.3760
```

Record 2
A plane-wave DFT calculation with PBE was carried out for RbLa2InNi after structural relaxation.

ΔE_f	0.16	eV/atom
DOS(E_F)	7.37	states/eV/cell
magnetization	0.00	μB per formula unit
SG	P4/mmm (123)

extended XYZ file:
```
5
Lattice="5.4669 0.0000 0.0000 0.0000 5.8848 0.0000 0.0000 0.0000 5.4669" Properties=species:S:1:pos:R:3 pbc="T T T"
Ni 0.0000 0.0000 0.0000
In 2.7334 2.9424 2.7334
Rb 0.0000 2.9424 0.0000
La 0.0000 0.0000 2.7334
La 2.7334 0.0000 0.0000
```

Record 3
A plane-wave DFT calculation with PBE was carried out for Er2MgZrP4 after structural relaxation.

ΔE_f	-1.23	eV/atom
DOS(E_F)	1.07	states/eV/cell
magnetization	0.00	μB per formula unit
SG	P2/m (10)

extended XYZ file:
```
8
Lattice="-3.1468 -0.2003 -2.2549 -3.2365 -3.4405 4.8223 -1.0097 6.5481 0.8275" Properties=species:S:1:pos:R:3 pbc="T T T"
Er -2.0782 3.1739 -0.7137
Er -2.1231 1.5538 2.8249
Mg -3.1917 -1.8204 1.2837
Zr 0.0000 0.0000 0.0000
P -2.6000 0.6302 0.2403
P -4.7931 2.2771 3.1545
P -1.5826 4.1331 1.8414
P -2.6637 -1.0255 3.8083
```

Record 4
A plane-wave DFT calculation with PBE was carried out for NaAcPdO4 after structural relaxation.

raw formation energy	-1090	kJ/mol of formula units
magnetization	0.00	μB per formula unit
SG	Imma (74)

extended XYZ file:
```
14
Lattice="6.5384 0.0000 0.0000 -3.2692 6.0024 -0.9565 0.0000 -4.0898 6.7259" Properties=species:S:1:pos:R:3 pbc="T T T"
Na 3.2692 4.2385 0.2741
Na 0.0000 -2.3259 5.4953
Ac 3.2692 -2.0449 3.3629
Ac 3.2692 0.0000 0.0000
Pd 1.6346 0.9563 2.8847
Pd -1.6346 0.9563 2.8847
O 3.2692 0.3920 4.0928
O 1.8219 -0.8095 1.8110
O 4.7165 -0.8095 1.8110
O 3.2692 1.7693 1.8278
O 0.0000 0.1432 3.9415
O 1.4473 2.7220 3.9584
O -1.4473 2.7220 3.9584
O 0.0000 1.5205 1.6766
```

Record 5
A plane-wave DFT calculation with PBE was carried out for Y2SiSe after structural relaxation.

DOS(E_F)	1.76	states/eV/cell
raw formation energy	-411	kJ/mol of formula units
magnetization	0.00	μB per formula unit
SG	Imm2 (44)
polymorph energy (0 for the lowest one)	1.117	eV per formula unit

extended XYZ file:
```
4
Lattice="7.6374 -0.0003 -0.0010 5.7935 4.9764 0.0010 -6.6378 -2.6976 2.6442" Properties=species:S:1:pos:R:3 pbc="T T T"
Se 7.3024 2.7055 0.0000
Si 3.6009 2.6300 1.3226
Y 12.7444 4.7218 0.0000
Y 3.2916 -0.3146 1.3216
```

Record 6
A plane-wave DFT calculation with PBE was carried out for Tb2ZrAl after structural relaxation.

ΔE_f	0.28	eV/atom
DOS(E_F)	3.86	states/eV/cell
magnetization	0.00	μB per formula unit
SG	R-3m (166)
polymorph energy (0 for the lowest one)	1.735	eV per formula unit

extended XYZ file:
```
4
Lattice="3.3265 0.0000 0.0000 1.6633 2.8809 0.0000 1.6633 0.9603 11.5078" Properties=species:S:1:pos:R:3 pbc="T T T"
Tb 1.6633 0.9603 8.4266
Tb 4.9898 2.8809 3.0812
Al 0.0000 0.0000 0.0000
Zr 3.3265 1.9206 5.7539
```

Record 7
A plane-wave DFT calculation with PBE was carried out for Ag2H8Pt3 after structural relaxation.

DOS(E_F)	2.50	states/eV/cell
magnetization	0.00	μB per formula unit
SG	C2/m (12)

extended XYZ file:
```
13
Lattice="4.3542 -0.6586 -2.9540 -0.7869 5.0241 -2.2801 -1.2468 0.1040 7.4705" Properties=species:S:1:pos:R:3 pbc="T T T"
Ag 1.6475 3.3855 0.0802
Ag 0.6730 1.0840 2.1562
H 2.6159 1.5037 2.4106
H -0.2954 2.9658 -0.1742
H -0.8705 4.1146 2.5557
H 3.1911 0.3549 -0.3193
H 1.0430 3.7621 -2.2891
H 1.4368 1.2484 -1.1483
H 0.8838 3.2211 3.3847
H 1.2775 0.7074 4.5255
Pt 2.1771 -0.3293 -1.4770
Pt -1.4359 1.3114 6.9226
Pt -0.5978 3.8167 -1.7322
```

Record 8
A plane-wave DFT calculation with PBE was carried out for PmTiN2 after structural relaxation.

DOS(E_F)	3.12	states/eV/cell
raw formation energy	-277	kJ/mol of formula units
magnetization	0.00	μB per formula unit
SG	R-3m (166)

extended XYZ file:
```
4
Lattice="3.6868 0.0000 0.0000 1.8434 3.1929 0.0000 1.8434 1.0643 6.1519" Properties=species:S:1:pos:R:3 pbc="T T T"
N 1.8434 1.0643 4.2989
N 5.5302 3.1929 1.8529
Ti 0.0000 0.0000 0.0000
Pm 3.6868 2.1286 3.0759
```

Record 9
A plane-wave DFT calculation with PBE was carried out for Sc2ZnO after structural relaxation.

DOS(E_F)	5.13	states/eV/cell
raw formation energy	-192	kJ/mol of formula units
magnetization	0.00	μB per formula unit
SG	Fm-3m (225)
polymorph energy (0 for the lowest one)	3.678	eV per formula unit

extended XYZ file:
```
4
Lattice="-3.1653 0.1566 3.2068 -3.7637 2.3923 -0.6625 -3.9356 -2.1127 -0.6121" Properties=species:S:1:pos:R:3 pbc="T T T"
Sc -2.7161 0.1091 0.4831
Sc -8.1484 0.3272 1.4492
Zn -5.4323 0.2181 0.9661
O 0.0000 0.0000 0.0000
```

Record 10
A plane-wave DFT calculation with PBE was carried out for Li2TlTe after structural relaxation.

DOS(E_F)	2.32	states/eV/cell
raw formation energy	-57	kJ/mol of formula units
magnetization	0.00	μB per formula unit
SG	R3m (160)
polymorph energy (0 for the lowest one)	1.622	eV per formula unit

extended XYZ file:
```
4
Lattice="-0.9872 -2.6256 -8.9786 -1.5374 -5.7618 -7.2747 -4.2556 -3.4160 -7.6618" Properties=species:S:1:pos:R:3 pbc="T T T"
Li -0.0049 -0.0085 -0.0173
Li -1.6496 -2.8718 -5.8186
Te -3.4553 -6.0151 -12.1874
Tl -5.0605 -8.8097 -17.8495
```

Record 11
A plane-wave DFT calculation with PBE was carried out for CsNaSr2Hg after structural relaxation.

ΔE_f	-0.04	eV/atom
DOS(E_F)	2.83	states/eV/cell
magnetization	0.00	μB per formula unit
SG	P4/mmm (123)
polymorph energy (0 for the lowest one)	0.217	eV per formula unit

extended XYZ file:
```
5
Lattice="6.4165 0.0000 0.0000 0.0000 6.4165 0.0000 0.0000 0.0000 7.1223" Properties=species:S:1:pos:R:3 pbc="T T T"
Cs 0.0000 0.0000 3.5611
Sr 0.0000 3.2082 0.0000
Sr 3.2082 0.0000 0.0000
Hg 0.0000 0.0000 0.0000
Na 3.2082 3.2082 3.5611
```

Record 12
A plane-wave DFT calculation with PBE was carried out for Sr2SbPt after structural relaxation.

DOS(E_F)	2.77	states/eV/cell
raw formation energy	-235	kJ/mol of formula units
magnetization	0.00	μB per formula unit
SG	I-4m2 (119)

extended XYZ file:
```
4
Lattice="-3.4372 -3.5660 3.9069 1.1381 -6.2034 0.1313 3.3466 5.3375 0.3270" Properties=species:S:1:pos:R:3 pbc="T T T"
Pt -1.1495 -4.8847 2.0191
Sb -0.6201 -1.5567 3.1265
Sr 0.0000 0.0000 0.0000
Sr 1.6676 -2.8753 1.2387
```

no.,uncorrected energy (eV/atom),mass density (Mg/m³)
1,-8.028,10.2
2,-3.705,5.1
3,-6.348,5.8
4,-5.964,5.9
5,-6.524,4.7
6,-5.107,6.6
7,-3.861,9.6
8,-8.042,5.1
9,-5.221,4.4
10,-2.481,5.5
11,-1.205,3.0
12,-3.992,7.2